# 1
A plane-wave DFT calculation with PBE-GGA was carried out for a geometry-optimized TmHfRhAu structure.

Uncorrected energy (eV/atom): -6.9653
Energy of formation from the pure elements (kJ/mol of atoms): -67.7
Magnetic moment (μB per atom): 0.000

Unit cell a=6.8001 b=6.8001 c=6.8001 alpha=90.00 beta=90.00 gamma=90.00
Last column: nearest neighbours and their distance in Å.
Space group F-43m (No. 216)
Unique sites:
Tm (0.0000, 0.0000, 0.0000) [4 per cell]  4 Au 2.94, 4 Rh 2.94
Hf (0.0000, 0.0000, 0.5000) [4 per cell]  4 Rh 2.94, 4 Au 2.94
Rh (0.2500, 0.2500, 0.7500) [4 per cell]  4 Hf 2.94, 4 Tm 2.94
Au (0.2500, 0.2500, 0.2500) [4 per cell]  4 Hf 2.94, 4 Tm 2.94

# 2
A plane-wave DFT calculation with PBE-GGA was carried out for a geometry-optimized HfVRhAu2 structure.

Uncorrected energy (eV/atom): -5.8158
Energy of formation from the pure elements (kJ/mol of atoms): 75.2
Magnetic moment (μB per atom): 0.802

Unit cell a=5.0761 b=5.0761 c=4.6233 alpha=90.00 beta=90.00 gamma=90.00
Last column: nearest neighbours and their distance in Å.
Space group P4/mmm (No. 123)
Unique sites:
Hf (0.0000, 0.0000, 0.0000) [1 per cell]  2 Rh 2.31
V (0.5000, 0.5000, 0.0000) [1 per cell]  8 Au 3.43, 4 Hf 3.59
Rh (0.0000, 0.0000, 0.5000) [1 per cell]  2 Hf 2.31, 4 Au 2.54
Au (0.0000, 0.5000, 0.5000) [2 per cell]  2 Rh 2.54